No. 1
# PBE-GGA LiLaInGe2, optimized geometry
data_LiLaInGe2
_chemical_formula_sum 'Li1 La1 In1 Ge2'
_symmetry_space_group_name_H-M 'P 1'
_symmetry_Int_Tables_number 1
_symmetry_space_group_name_Hall 'P 1'
_cell_length_a 4.295
_cell_length_b 4.295
_cell_length_c 6.811
_cell_angle_alpha 108.38
_cell_angle_beta 108.38
_cell_angle_gamma 90.00
loop_
_atom_site_label
_atom_site_type_symbol
_atom_site_fract_x
_atom_site_fract_y
_atom_site_fract_z
Li1 Li 0.250 0.750 0.500
La1 La 0.000 0.000 0.000
In1 In 0.750 0.250 0.500
Ge1 Ge 0.605 0.605 0.210
Ge2 Ge 0.395 0.395 0.790
# **Calculated formation energy**: -0.54 eV per atom
# **Space-group type**: No. 119
# **V**: 22.49 A^3/atom
# **Theoretical density**: 5994 kg/m3

No. 2
# PBE-GGA Ta2OsSe, optimized geometry
data_Ta2OsSe
_chemical_formula_sum 'Ta2 Os1 Se1'
_symmetry_space_group_name_H-M 'P 1'
_symmetry_Int_Tables_number 1
_symmetry_space_group_name_Hall 'P 1'
_cell_length_a 5.226
_cell_length_b 5.226
_cell_length_c 5.226
_cell_angle_alpha 144.12
_cell_angle_beta 126.70
_cell_angle_gamma 65.93
loop_
_atom_site_label
_atom_site_type_symbol
_atom_site_fract_x
_atom_site_fract_y
_atom_site_fract_z
Os1 Os 0.750 0.250 0.500
Se1 Se 0.250 0.750 0.500
Ta1 Ta 0.008 0.008 0.000
Ta2 Ta 0.492 0.492 0.000
# **Formation energy without anion corrections**: 0.145 eV per atom
# **Space-group type**: No. 71
# **V**: 16.55 A^3/atom
# **Theoretical density**: 15829 kg/m3

No. 3
# PBE-GGA Rb2NaLiSe, optimized geometry
data_Rb2NaLiSe
_chemical_formula_sum 'Rb2 Na1 Li1 Se1'
_symmetry_space_group_name_H-M 'P 1'
_symmetry_Int_Tables_number 1
_symmetry_space_group_name_Hall 'P 1'
_cell_length_a 6.940
_cell_length_b 6.940
_cell_length_c 4.862
_cell_angle_alpha 90.00
_cell_angle_beta 90.00
_cell_angle_gamma 90.00
loop_
_atom_site_label
_atom_site_type_symbol
_atom_site_fract_x
_atom_site_fract_y
_atom_site_fract_z
Na1 Na 0.500 0.500 0.500
Se1 Se 0.000 0.000 0.000
Rb1 Rb 0.000 0.500 0.000
Rb2 Rb 0.500 0.000 0.000
Li1 Li 0.000 0.000 0.500
# **Formation energy without anion corrections**: -0.568 eV per atom
# **Space-group type**: No. 123
# **V**: 46.84 A^3/atom
# **Theoretical density**: 1984 kg/m3